## HfUSe (PBE)

Data for HfUSe after structural relaxation.

Computed properties:
Space group ... No. 166
Formation energy without anion corrections ... 0.3 kJ/mol of atoms
Crystal system ... trigonal
Total moment ... 5.1 μB/cell

Cell and atoms, written as CIF:
```
data_HfUSe
_chemical_formula_sum 'Hf2 U2 Se2'
_symmetry_space_group_name_H-M 'P 1'
_symmetry_Int_Tables_number 1
_cell_length_a 4.8636
_cell_length_b 4.8636
_cell_length_c 7.5493
_cell_angle_alpha 71.21
_cell_angle_beta 71.21
_cell_angle_gamma 60.00
loop_
_symmetry_equiv_pos_as_xyz
'x,y,z'
loop_
_atom_site_label
_atom_site_type_symbol
_atom_site_fract_x
_atom_site_fract_y
_atom_site_fract_z
Hf1 Hf 0.1366 0.1366 0.5903
U1 U 0.2807 0.2807 0.1580
Hf2 Hf 0.8634 0.8634 0.4097
Se1 Se 0.5805 0.5805 0.2585
Se2 Se 0.4195 0.4195 0.7415
U2 U 0.7193 0.7193 0.8420
```

---

## Li2TaBeO4 (PBE)

Data for Li2TaBeO4 after structural relaxation.

Computed properties:
Space group ... No. 82
Formation energy without anion corrections ... -215.4 kJ/mol of atoms
Crystal system ... tetragonal
Total moment ... 1.0 μB/cell

Cell and atoms, written as CIF:
```
data_Li2TaBeO4
_chemical_formula_sum 'Li2 Ta1 Be1 O4'
_symmetry_space_group_name_H-M 'P 1'
_symmetry_Int_Tables_number 1
_cell_length_a 4.8956
_cell_length_b 4.8956
_cell_length_c 4.8956
_cell_angle_alpha 93.04
_cell_angle_beta 118.26
_cell_angle_gamma 118.26
loop_
_symmetry_equiv_pos_as_xyz
'x,y,z'
loop_
_atom_site_label
_atom_site_type_symbol
_atom_site_fract_x
_atom_site_fract_y
_atom_site_fract_z
Li1 Li 0.0000 0.0000 0.0000
O1 O 0.3939 0.8387 0.8270
Be1 Be 0.0000 0.5000 0.5000
Ta1 Ta 0.5000 0.2500 0.7500
Li2 Li 0.5000 0.7500 0.2500
O2 O 0.0117 0.1730 0.5670
O3 O 0.9883 0.5552 0.1613
O4 O 0.6061 0.4330 0.4448
```